Record 1
A relaxed TcIrSeN2 crystal, computed with PBEsol.

The calculation puts the uncorrected formation energy at 1.201 eV/atom. Its offset from the most stable computed form is 0 meV per atom. The spin magnetization is 0.63 μB per atom. The density of states at the Fermi level comes out at 3.6 states/eV/cell.

It has space group P4/mmm (No. 123), with a = 3.689 Å, b = 3.689 Å, c = 6.075 Å, α = 90.00°, β = 90.00° and γ = 90.00°. The distinct sites, in fractional coordinates, are Tc at (0.000, 0.000, 0.000), Ir at (0.500, 0.500, 0.500), Se at (0.500, 0.500, 0.000) and N at (0.000, 0.500, 0.500).

***

Record 2
A relaxed CsTcBi3 crystal, computed with PBEsol.

The calculation puts the formation energy at 2349.1 meV/atom. The spin magnetization is 0.88 μB per atom. The density of states at the Fermi level comes out at 5.6 states/eV/cell.

It has space group Pm-3m (No. 221), with a = 6.065 Å, b = 6.065 Å, c = 6.065 Å, α = 90.00°, β = 90.00° and γ = 90.00°. The distinct sites, in fractional coordinates, are Cs at (0.000, 0.000, 0.000), Tc at (0.500, 0.500, 0.500) and Bi at (0.000, 0.000, 0.500).

***

Record 3
A relaxed Nd5Sn4 crystal, computed with PBEsol.

The calculation puts the formation energy at -790.7 meV/atom. The spin magnetization is 0.00 μB per atom. The density of states at the Fermi level comes out at 37.6 states/eV/cell.

It has space group Pnma (No. 62), with a = 8.103 Å, b = 15.719 Å, c = 8.386 Å, α = 90.00°, β = 90.00° and γ = 90.00°. The distinct sites, in fractional coordinates, are Nd at (0.003, 0.097, 0.182), Nd at (0.158, 0.124, 0.670), Nd at (0.172, 0.750, 0.501), Sn at (0.041, 0.750, 0.109), Sn at (0.182, 0.540, 0.463) and Sn at (0.200, 0.250, 0.356).

***

Record 4
A relaxed Ti3GeS crystal, computed with PBEsol.

The calculation puts the uncorrected formation energy at -0.426 eV/atom. The spin magnetization is 0.00 μB per atom. The density of states at the Fermi level comes out at 5.8 states/eV/cell.

It has space group Pm-3m (No. 221), with a = 4.413 Å, b = 4.413 Å, c = 4.413 Å, α = 90.00°, β = 90.00° and γ = 90.00°. The distinct sites, in fractional coordinates, are Ti at (0.000, 0.000, 0.500), Ge at (0.500, 0.500, 0.500) and S at (0.000, 0.000, 0.000).

***

Record 5
A relaxed BaSc6Ni4O15 crystal, computed with PBEsol.

The calculation puts the uncorrected formation energy at -2.500 eV/atom. The spin magnetization is 0.23 μB per atom. The density of states at the Fermi level comes out at 11.3 states/eV/cell.

It has space group Cmce (No. 64), with a = 11.678 Å, b = 10.396 Å, c = 9.591 Å, α = 90.00°, β = 90.00° and γ = 90.00°. The distinct sites, in fractional coordinates, are Ba at (0.000, 0.000, 0.000), Sc at (0.000, 0.182, 0.357), Sc at (0.135, 0.091, 0.643), Ni at (0.244, 0.159, 0.116), O at (0.000, 0.000, 0.500), O at (0.000, 0.153, 0.756), O at (0.130, 0.082, 0.248), O at (0.132, 0.238, 0.496), O at (0.249, 0.000, 0.500) and O at (0.250, 0.201, 0.750).

***

Record 6
A relaxed Ga2TeHW crystal, computed with PBEsol.

The spin magnetization is 0.10 μB per atom. The density of states at the Fermi level comes out at 3.8 states/eV/cell. The value obtained for the total energy is -4.708 eV per atom.

It has space group P4/mmm (No. 123), with a = 3.898 Å, b = 3.898 Å, c = 5.079 Å, α = 90.00°, β = 90.00° and γ = 90.00°. The distinct sites, in fractional coordinates, are Ga at (0.000, 0.500, 0.000), Te at (0.000, 0.000, 0.500), H at (0.000, 0.000, 0.000) and W at (0.500, 0.500, 0.500).

***

Record 7
A relaxed ZnCd2PdPb crystal, computed with PBEsol.

The calculation puts the formation energy at 755.6 meV/atom. The spin magnetization is 0.00 μB per atom. The density of states at the Fermi level comes out at 1.6 states/eV/cell.

It has space group P4/mmm (No. 123), with a = 5.494 Å, b = 5.494 Å, c = 5.090 Å, α = 90.00°, β = 90.00° and γ = 90.00°. The distinct sites, in fractional coordinates, are Zn at (0.000, 0.000, 0.000), Cd at (0.000, 0.500, 0.500), Pd at (0.500, 0.500, 0.000) and Pb at (0.500, 0.500, 0.500).

***

Record 8
A relaxed SrLiRe crystal, computed with PBEsol.

The calculation puts the formation energy at 1586.2 meV/atom. Its offset from the most stable computed form is 662 meV per atom. The spin magnetization is 0.76 μB per atom. The density of states at the Fermi level comes out at 15.5 states/eV/cell.

It has space group F-43m (No. 216), with a = 6.541 Å, b = 6.541 Å, c = 6.541 Å, α = 90.00°, β = 90.00° and γ = 90.00°. The distinct sites, in fractional coordinates, are Sr at (0.000, 0.000, 0.000), Li at (0.250, 0.250, 0.750) and Re at (0.000, 0.000, 0.500).

***

Record 9
A relaxed IrRu2Rh crystal, computed with PBEsol.

The calculation puts the formation energy at 10.3 meV/atom. Its offset from the most stable computed form is 1 meV per atom. The spin magnetization is 0.00 μB per atom. The density of states at the Fermi level comes out at 7.7 states/eV/cell.

It has space group I4/mmm (No. 139), with a = 3.771 Å, b = 3.771 Å, c = 7.600 Å, α = 90.00°, β = 90.00° and γ = 90.00°. The distinct sites, in fractional coordinates, are Ir at (0.000, 0.000, 0.000), Ru at (0.000, 0.500, 0.250) and Rh at (0.000, 0.000, 0.500).

***

Record 10
A relaxed LaTiAs3 crystal, computed with PBEsol.

The calculation puts the formation energy at 925.4 meV/atom. The spin magnetization is 0.36 μB per atom. The density of states at the Fermi level comes out at 8.2 states/eV/cell.

It has space group Pm-3m (No. 221), with a = 5.394 Å, b = 5.394 Å, c = 5.394 Å, α = 90.00°, β = 90.00° and γ = 90.00°. The distinct sites, in fractional coordinates, are La at (0.000, 0.000, 0.000), Ti at (0.500, 0.500, 0.500) and As at (0.000, 0.000, 0.500).

***

Record 11
A relaxed Mn3CdI crystal, computed with PBEsol.

The calculation puts the uncorrected formation energy at 1.260 eV/atom. Its offset from the most stable computed form is 0 meV per atom. The spin magnetization is 2.79 μB per atom. The density of states at the Fermi level comes out at 2.0 states/eV/cell.

It has space group Pm-3m (No. 221), with a = 5.101 Å, b = 5.101 Å, c = 5.101 Å, α = 90.00°, β = 90.00° and γ = 90.00°. The distinct sites, in fractional coordinates, are Mn at (0.000, 0.000, 0.500), Cd at (0.000, 0.000, 0.000) and I at (0.500, 0.500, 0.500).

***

Record 12
A relaxed Tb6Al39Cr8 crystal, computed with PBEsol.

The calculation puts the formation energy at -277.1 meV/atom. The spin magnetization is 0.16 μB per atom. The density of states at the Fermi level comes out at 47.2 states/eV/cell.

It has space group P6_3/mcm (No. 193), with a = 10.8283 Å, b = 10.8283 Å, c = 17.1203 Å, α = 90.00°, β = 90.00° and γ = 120.00°. The distinct sites, in fractional coordinates, are Tb at (0.0000, 0.4674, 0.0973), Al at (0.0000, 0.1536, 0.1163), Al at (0.0000, 0.1540, 0.7500), Al at (0.0000, 0.2506, 0.5283), Al at (0.1533, 0.5493, 0.2500), Al at (0.1673, 0.3987, 0.6606), Al at (0.2502, 0.5005, 0.0000), Cr at (0.0000, 0.0000, 0.0000), Cr at (0.0000, 0.2588, 0.2500) and Cr at (0.3333, 0.6667, 0.1321).